## LuTl2Fe (GGA-PBE)

Data for LuTl2Fe after structural relaxation.

Unit cell a=7.1308 b=7.1308 c=7.1308 alpha=90.00 beta=90.00 gamma=90.00
Space group F-43m (No. 216)
One atom of each set of equivalent atoms:
Lu 0.0000 0.0000 0.0000 (multiplicity 4)
Tl 0.0000 0.0000 0.5000 (multiplicity 4)
Tl 0.2500 0.2500 0.7500 (multiplicity 4)
Fe 0.2500 0.2500 0.2500 (multiplicity 4)

Computed properties:
Distance to the lowest polymorph of the same formula   0.000 eV/f.u.
Total energy   -64.787 eV for the cell shown

## NaCuTcSe3 (GGA-PBE)

Data for NaCuTcSe3 after structural relaxation.

Unit cell a=10.0564 b=3.6862 c=13.1169 alpha=90.00 beta=90.00 gamma=90.00
Space group Pnma (No. 62)
One atom of each set of equivalent atoms:
Na 0.2422 0.2500 0.0170 (multiplicity 4)
Cu 0.2373 0.7500 0.2128 (multiplicity 4)
Tc 0.0227 0.2500 0.2587 (multiplicity 4)
Se 0.0337 0.7500 0.1236 (multiplicity 4)
Se 0.0571 0.2500 0.6213 (multiplicity 4)
Se 0.2485 0.2500 0.3338 (multiplicity 4)

Computed properties:
Distance to the lowest polymorph of the same formula   0.277 eV/f.u.
Total energy   -112.304 eV for the cell shown

## LiScZnNi (GGA-PBE)

Data for LiScZnNi after structural relaxation.

Unit cell a=6.1133 b=6.1133 c=6.1133 alpha=90.00 beta=90.00 gamma=90.00
Space group F-43m (No. 216)
One atom of each set of equivalent atoms:
Li 0.0000 0.0000 0.0000 (multiplicity 4)
Sc 0.2500 0.2500 0.7500 (multiplicity 4)
Zn 0.2500 0.2500 0.2500 (multiplicity 4)
Ni 0.0000 0.0000 0.5000 (multiplicity 4)

Computed properties:
Distance to the lowest polymorph of the same formula   0.000 eV/f.u.
Total energy   -64.523 eV for the cell shown

## YGa3Cu (GGA-PBE)

Data for YGa3Cu after structural relaxation.

Unit cell a=4.1094 b=4.1094 c=10.6562 alpha=90.00 beta=90.00 gamma=90.00
Space group I4mm (No. 107)
One atom of each set of equivalent atoms:
Y 0.0000 0.0000 0.0000 (multiplicity 2)
Ga 0.0000 0.0000 0.5945 (multiplicity 2)
Ga 0.0000 0.5000 0.2506 (multiplicity 4)
Cu 0.0000 0.0000 0.3746 (multiplicity 2)

Computed properties:
Total energy   -43.352 eV for the cell shown